[1]
Entry from Alexandria: a relaxed HoSc2Be crystal (PBE).

Cell lengths 3.2265, 3.2265, 11.0093 Å; angles 81.57, 81.57, 60.00 degrees
Fractional coordinates of all 4 atoms:
Sc: 0.0835 0.0835 0.7494
Sc: 0.9165 0.9165 0.2506
Be: 0.0000 0.0000 0.0000
Ho: 0.5000 0.5000 0.5000

SG ... R-3m (166)

***

[2]
Entry from Alexandria: a relaxed HoSc2Be crystal (PBE).

Cell lengths 3.2431, 3.2431, 8.2915 Å; angles 90.00, 90.00, 90.00 degrees
Fractional coordinates of all 4 atoms:
Sc: 0.0000 0.0000 0.8138
Sc: 0.0000 0.0000 0.1862
Be: 0.5000 0.5000 0.0000
Ho: 0.5000 0.5000 0.5000

SG ... P4/mmm (123)

***

[3]
Entry from Alexandria: a relaxed HoScBe crystal (PBE).

Cell lengths 3.3188, 3.3188, 6.2298 Å; angles 105.45, 105.45, 90.00 degrees
Fractional coordinates of all 3 atoms:
Sc: 0.2972 0.2972 0.5945
Be: 0.6785 0.6785 0.3570
Ho: 0.0243 0.0243 0.0486

SG ... I4mm (107)

***

[4]
Entry from Alexandria: a relaxed Ho2ScBe crystal (PBE).

Cell lengths 3.4062, 3.4062, 8.1770 Å; angles 90.00, 90.00, 90.00 degrees
Fractional coordinates of all 4 atoms:
Sc: 0.5000 0.5000 0.5000
Be: 0.5000 0.5000 0.0000
Ho: 0.0000 0.0000 0.7977
Ho: 0.0000 0.0000 0.2023

SG ... P4/mmm (123)

***

[5]
Entry from Alexandria: a relaxed Ho2ScBe crystal (PBE).

Cell lengths 3.3113, 3.3113, 11.2485 Å; angles 81.54, 81.54, 60.00 degrees
Fractional coordinates of all 4 atoms:
Sc: 0.5000 0.5000 0.5000
Be: 0.0000 0.0000 0.0000
Ho: 0.0865 0.0865 0.7406
Ho: 0.9135 0.9135 0.2594

SG ... R-3m (166)

***

[6]
Entry from Alexandria: a relaxed HoScBe4 crystal (PBE).

Cell lengths 4.8990, 4.8990, 4.8990 Å; angles 60.00, 60.00, 60.00 degrees
Fractional coordinates of all 6 atoms:
Sc: 0.0000 0.0000 0.0000
Be: 0.6263 0.6263 0.1210
Be: 0.6263 0.1210 0.6263
Be: 0.6263 0.6263 0.6263
Be: 0.1210 0.6263 0.6263
Ho: 0.2500 0.2500 0.2500

SG ... F-43m (216)

***

[7]
Entry from Alexandria: a relaxed HoScBeTc crystal (PBE).

Cell lengths 4.6844, 4.6844, 4.6844 Å; angles 60.00, 60.00, 60.00 degrees
Fractional coordinates of all 4 atoms:
Sc: 0.0000 0.0000 0.0000
Be: 0.7500 0.7500 0.7500
Ho: 0.5000 0.5000 0.5000
Tc: 0.2500 0.2500 0.2500

SG ... F-43m (216)

***

[8]
Entry from Alexandria: a relaxed HoScBeZn crystal (PBE).

Cell lengths 4.7775, 4.7775, 4.7775 Å; angles 60.00, 60.00, 60.00 degrees
Fractional coordinates of all 4 atoms:
Sc: 0.7500 0.7500 0.7500
Be: 0.5000 0.5000 0.5000
Zn: 0.0000 0.0000 0.0000
Ho: 0.2500 0.2500 0.2500

SG ... F-43m (216)

***

Number 1: DOS(E_F) 5.29 states/eV/cell, formation enthalpy at 0 K 64.9 kJ per mole of atoms. Number 2: DOS(E_F) 4.22 states/eV/cell, formation enthalpy at 0 K 2.8 kJ per mole of atoms. Number 3: DOS(E_F) 2.08 states/eV/cell, formation enthalpy at 0 K 4.5 kJ per mole of atoms. Number 4: DOS(E_F) 4.21 states/eV/cell, formation enthalpy at 0 K 6.9 kJ per mole of atoms. Number 5: DOS(E_F) 3.38 states/eV/cell, formation enthalpy at 0 K 63.8 kJ per mole of atoms. Number 6: DOS(E_F) 3.15 states/eV/cell, formation enthalpy at 0 K 0.5 kJ per mole of atoms. Number 7: DOS(E_F) 3.15 states/eV/cell, formation enthalpy at 0 K -1.3 kJ per mole of atoms. Number 8: DOS(E_F) 3.39 states/eV/cell, formation enthalpy at 0 K -13.6 kJ per mole of atoms.